A relaxed structure of LiTc2Cl. Source: Alexandria via LeMat-Bulk, functional PBE.

Its density of states at the Fermi level is 1.1151 states/eV/atom. For the formation energy (no corrections), the calculation gives 2.743 eV per formula unit.

The space group is Cmmm (No. 65) and the conventional cell measures 2.8761, 4.7194 and 8.9437 Å, with angles of 90.00, 90.00 and 90.00 degrees. Symmetry generates all atoms from Li at (0.0000, 0.0000, 0.0000), Tc at (0.0000, 0.5000, 0.2622) and Cl at (0.0000, 0.0000, 0.5000).


A relaxed structure of ScFe2Pb. Source: Alexandria via LeMat-Bulk, functional PBE.

Its density of states at the Fermi level is 0.9268 states/eV/atom. The formation enthalpy at 0 K comes out at 0.1568 eV/atom.

The space group is Amm2 (No. 38) and the conventional cell measures 4.0322, 3.4721 and 10.1567 Å, with angles of 90.00, 90.00 and 90.00 degrees. Symmetry generates all atoms from Sc at (0.0000, 0.0000, 0.0000), Fe at (0.0000, 0.0000, 0.7107), Fe at (0.5000, 0.0000, 0.5921) and Pb at (0.5000, 0.0000, 0.3143).


A relaxed structure of Tb2Nd3Tm2. Source: Alexandria via LeMat-Bulk, functional PBE.

Its density of states at the Fermi level is 1.3267 states/eV/atom. The formation enthalpy at 0 K comes out at 0.0187 eV/atom.

The space group is P-1 (No. 2) and the conventional cell measures 3.5939, 6.2210 and 10.7602 Å, with angles of 95.75, 90.06 and 106.78 degrees. Symmetry generates all atoms from Tb at (0.2153, 0.4306, 0.3580), Nd at (0.3582, 0.7161, 0.9285), Nd at (0.5000, 0.0000, 0.5000) and Tm at (0.0726, 0.1450, 0.7843).